# 1
Re5Mo after structural relaxation, computed with PBE-GGA.

The space group is No. 2. The value obtained for the formation energy is 0.100 eV/atom. The polymorph energy (0 for the lowest one) comes out at 28 meV/atom.

a = 3.920 Å, b = 7.333 Å, c = 7.344 Å
α = 106.54°, β = 105.48°, γ = 105.49°
Element x y z (fractional)
Re1 0.119 0.205 0.032
Re2 0.129 0.877 0.380
Re3 0.370 0.285 0.454
Re4 0.377 0.962 0.793
Re5 0.378 0.629 0.128
Re6 0.622 0.371 0.872
Re7 0.623 0.038 0.207
Re8 0.630 0.715 0.546
Re9 0.871 0.123 0.620
Re10 0.881 0.795 0.968
Mo1 0.128 0.543 0.712
Mo2 0.872 0.457 0.288


# 2
KHfAlS3 after structural relaxation, computed with PBE-GGA.

The space group is No. 63. Its total energy is -5.627 eV per atom.

a = 7.685 Å, b = 7.685 Å, c = 9.880 Å
α = 90.00°, β = 90.00°, γ = 152.89°
Element x y z (fractional)
K1 0.240 0.760 0.750
K2 0.760 0.240 0.250
Hf1 0.500 0.500 0.000
Hf2 0.500 0.500 0.500
Al1 0.040 0.960 0.250
Al2 0.960 0.040 0.750
S1 0.124 0.876 0.061
S2 0.124 0.876 0.439
S3 0.443 0.557 0.250
S4 0.557 0.443 0.750
S5 0.876 0.124 0.561
S6 0.876 0.124 0.939


# 3
Rb2LiZrBr6 after structural relaxation, computed with PBE-GGA.

The space group is No. 225. Its total energy is -3.752 eV per atom.

a = 7.684 Å, b = 7.684 Å, c = 7.684 Å
α = 60.00°, β = 60.00°, γ = 60.00°
Element x y z (fractional)
Rb1 0.250 0.250 0.250
Rb2 0.750 0.750 0.750
Li1 0.000 0.000 0.000
Zr1 0.500 0.500 0.500
Br1 0.251 0.251 0.749
Br2 0.251 0.749 0.251
Br3 0.251 0.749 0.749
Br4 0.749 0.251 0.251
Br5 0.749 0.251 0.749
Br6 0.749 0.749 0.251


# 4
Al2ZnGe after structural relaxation, computed with PBE-GGA.

The space group is No. 216. Its total energy is -3.147 eV per atom.

a = 6.534 Å, b = 6.534 Å, c = 6.534 Å
α = 90.00°, β = 90.00°, γ = 90.00°
Element x y z (fractional)
Al1 0.000 0.000 0.000
Al2 0.000 0.500 0.500
Al3 0.250 0.250 0.250
Al4 0.250 0.750 0.750
Al5 0.500 0.000 0.500
Al6 0.500 0.500 0.000
Al7 0.750 0.250 0.750
Al8 0.750 0.750 0.250
Zn1 0.250 0.250 0.750
Zn2 0.250 0.750 0.250
Zn3 0.750 0.250 0.250
Zn4 0.750 0.750 0.750
Ge1 0.000 0.000 0.500
Ge2 0.000 0.500 0.000
Ge3 0.500 0.000 0.000
Ge4 0.500 0.500 0.500


# 5
GdNb2Ge2Sb after structural relaxation, computed with PBE-GGA.

The space group is No. 99. Its total energy is -6.702 eV per atom.

a = 4.069 Å, b = 4.069 Å, c = 7.961 Å
α = 90.00°, β = 90.00°, γ = 90.00°
Element x y z (fractional)
Gd1 0.000 0.000 0.000
Nb1 0.000 0.500 0.355
Nb2 0.500 0.000 0.355
Ge1 0.000 0.000 0.610
Ge2 0.500 0.500 0.117
Sb1 0.500 0.500 0.646


# 6
BaSrSiGe2Au after structural relaxation, computed with PBE-GGA.

The space group is No. 69. The polymorph energy (0 for the lowest one) comes out at 0 meV/atom.

a = 8.950 Å, b = 8.705 Å, c = 6.505 Å
α = 70.40°, β = 66.39°, γ = 43.21°
Element x y z (fractional)
Ba1 0.250 0.750 0.250
Ba2 0.750 0.250 0.750
Sr1 0.250 0.250 0.250
Sr2 0.750 0.750 0.750
Si1 0.166 0.166 0.834
Si2 0.834 0.834 0.166
Ge1 0.159 0.670 0.841
Ge2 0.330 0.841 0.670
Ge3 0.670 0.159 0.330
Ge4 0.841 0.330 0.159
Au1 0.326 0.326 0.674
Au2 0.674 0.674 0.326